Entry from the Alexandria database: a relaxed structure of ScGe2H2 (PBE-GGA).

Unit cell a=3.722 b=3.722 c=5.298 alpha=69.44 beta=69.44 gamma=90.00
Sites, in units of the cell vectors:
1 Ge 0.644 0.644 0.712
2 Ge 0.356 0.356 0.288
3 H 0.250 0.750 0.500
4 H 0.750 0.250 0.500
5 Sc 0.000 0.000 0.000

Results
The relative energy among the computed polymorphs is 321.2 meV per atom. Its calculated density is 5.01 g/cm³.